# 1
Entry from Alexandria: a relaxed structure of PaFe (GGA-PBE).

```
PaFe
1.0
3.623 0.000 0.000
0.000 5.696 0.000
0.000 0.000 6.995
Pa Fe
4 4
direct
0.750 0.681 0.325
0.250 0.319 0.675
0.750 0.819 0.825
0.250 0.181 0.175
0.750 0.332 0.936
0.250 0.832 0.564
0.250 0.668 0.064
0.750 0.168 0.436
```

Computed properties:
Its formation energy is -0.269 eV per atom. Its space group is Pnma. For the calculated density, the calculation gives 13.20 g cm⁻³. As for the total DFT energy (no corrections): -74.0 eV/cell.


# 2
Entry from Alexandria: a relaxed structure of Pa2Fe17 (GGA-PBE).

```
Pa2Fe17
1.0
-2.632 5.533 1.742
-5.394 -0.363 -3.369
-3.882 -2.145 4.572
Pa Fe
2 17
direct
0.342 0.342 0.342
0.658 0.658 0.658
0.000 0.000 0.500
0.841 0.342 0.342
0.342 0.342 0.841
0.658 0.159 0.658
0.000 0.500 0.000
0.696 0.000 0.304
0.696 0.304 0.000
0.304 0.000 0.696
0.658 0.658 0.159
0.906 0.906 0.906
0.342 0.841 0.342
0.094 0.094 0.094
0.000 0.696 0.304
0.000 0.304 0.696
0.500 0.000 0.000
0.159 0.658 0.658
0.304 0.696 0.000
```

Computed properties:
Its formation energy is -0.032 eV per atom. Its space group is R-3m. For the calculated density, the calculation gives 9.38 g cm⁻³. As for the total DFT energy (no corrections): -163.5 eV/cell.


# 3
Entry from Alexandria: a relaxed structure of PaFe (GGA-PBE).

```
PaFe
1.0
-3.221 -0.032 0.754
0.335 -3.022 1.304
0.676 1.346 2.945
Fe Pa
1 1
direct
0.500 0.500 0.500
0.000 0.000 0.000
```

Computed properties:
Its formation energy is 0.034 eV per atom. Its space group is Pm-3m. For the calculated density, the calculation gives 13.16 g cm⁻³. As for the total DFT energy (no corrections): -17.9 eV/cell.


# 4
Entry from Alexandria: a relaxed structure of Pa7Fe3 (GGA-PBE).

```
Pa7Fe3
1.0
-5.441 1.753 -0.511
-2.242 -4.759 7.551
2.752 8.752 0.724
Pa Fe
14 6
direct
0.913 0.873 0.127
0.913 0.873 0.746
0.635 0.544 0.087
0.413 0.746 0.873
0.635 0.544 0.456
0.635 0.913 0.456
0.109 0.667 0.333
0.413 0.127 0.873
0.609 0.333 0.667
0.913 0.254 0.127
0.135 0.456 0.913
0.135 0.456 0.544
0.413 0.127 0.254
0.135 0.087 0.544
0.884 0.179 0.358
0.384 0.821 0.642
0.384 0.821 0.179
0.384 0.358 0.179
0.884 0.642 0.821
0.884 0.179 0.821
```

Computed properties:
Its formation energy is -0.190 eV per atom. Its space group is P6_3mc. For the calculated density, the calculation gives 14.08 g cm⁻³. As for the total DFT energy (no corrections): -187.5 eV/cell.